Record 1
YCdCu | the Alexandria database | GGA-PBE | relaxed; space group = No. 216; calculated total energy = -3.5136 eV per atom; N(E_F) = 2.4 states/eV/cell
1.0
0.0000 3.4078 3.4078
3.4078 0.0000 3.4078
3.4078 3.4078 0.0000
Y Cd Cu
1 1 1
Cartesian
0.0000 0.0000 0.0000
5.1117 5.1117 5.1117
1.7039 1.7039 1.7039

***

Record 2
Y2Cd2Cu | the Alexandria database | GGA-PBE | relaxed; ΔE to the lowest computed polymorph = 0 meV/atom; space group = No. 127; N(E_F) = 13.6 states/eV/cell
1.0
7.1644 0.0000 0.0000
0.0000 7.1644 0.0000
0.0000 0.0000 4.7916
Y Cd Cu
4 4 2
Cartesian
1.2101 2.3721 0.0000
2.3721 5.9544 0.0000
4.7923 1.2101 0.0000
5.9544 4.7923 0.0000
1.0063 4.5885 2.3958
2.5760 1.0063 2.3958
4.5885 6.1582 2.3958
6.1582 2.5760 2.3958
0.0000 0.0000 2.3958
3.5822 3.5822 2.3958

***

Record 3
Y3Cd3Cu2 | the Alexandria database | GGA-PBE | relaxed; space group = No. 189; calculated total energy = -4.0870 eV per atom; N(E_F) = 7.7 states/eV/cell
1.0
7.5056 0.0000 0.0000
-3.7528 6.5000 0.0000
0.0000 0.0000 3.7770
Y Cd Cu
3 3 2
Cartesian
-1.5642 2.7092 0.0000
3.1284 0.0000 0.0000
2.1886 3.7908 0.0000
-2.8769 4.9830 1.8885
0.8759 1.5170 1.8885
5.7538 0.0000 1.8885
0.0000 4.3333 1.8885
3.7528 2.1667 1.8885

***

Record 4
Y4CdCu | the Alexandria database | GGA-PBE | relaxed; ΔE to the lowest computed polymorph = 199 meV/atom; space group = No. 14; N(E_F) = 17.8 states/eV/cell
1.0
7.0744 0.0000 0.0000
0.0000 7.4841 0.0000
-0.7702 0.0000 6.7782
Y Cd Cu
8 2 2
Cartesian
0.9190 1.2699 1.2113
0.5339 2.4721 4.6004
2.2880 4.8565 0.6414
1.9029 6.3696 4.0306
4.4013 1.1145 2.7477
4.0162 2.6276 6.1368
5.7703 5.0120 2.1778
5.3852 6.2141 5.5670
3.5372 0.0000 0.0000
3.1521 3.7420 3.3891
-0.3851 0.0000 3.3891
0.0000 3.7420 0.0000

***

Record 5
YCd6Cu6 | the Alexandria database | GGA-PBE | relaxed; space group = No. 71; calculated total energy = -2.8929 eV per atom; N(E_F) = 5.2 states/eV/cell
1.0
-2.6221 4.6461 4.6647
2.6221 -4.6461 4.6647
2.6221 4.6461 -4.6647
Y Cd Cu
1 6 6
Cartesian
0.0000 0.0000 0.0000
2.6221 1.7645 0.0000
0.0000 0.0000 3.1592
0.0000 3.2045 0.0000
0.0000 6.0877 0.0000
0.0000 0.0000 6.1702
0.0000 2.8816 4.6647
1.3110 2.3230 -2.3323
1.3110 -2.3230 2.3323
2.6221 0.0000 2.1263
-1.3110 2.3230 2.3323
1.3110 2.3230 2.3323
0.0000 4.6461 2.5384

***

Record 6
YCd2Cu9 | the Alexandria database | GGA-PBE | relaxed; space group = No. 166; calculated total energy = -3.8736 eV per atom; N(E_F) = 6.2 states/eV/cell
1.0
2.5365 1.4644 8.0267
-2.5365 1.4644 8.0267
0.0000 -2.9289 8.0267
Y Cd Cu
1 2 9
Cartesian
0.0000 0.0000 0.0000
0.0000 0.0000 3.4512
0.0000 0.0000 20.6290
-1.2767 -0.7371 10.0446
0.0000 0.0000 8.0289
0.0000 -1.4742 14.0356
-1.2767 0.7371 14.0356
0.0000 0.0000 12.0401
1.2767 -0.7371 10.0446
0.0000 1.4742 10.0446
0.0000 0.0000 16.0513
1.2767 0.7371 14.0356

***

Record 7
Y5Cd4Cu | the Alexandria database | GGA-PBE | relaxed; space group = No. 123; calculated total energy = -4.3264 eV per atom; N(E_F) = 10.0 states/eV/cell
1.0
3.6699 0.0000 0.0000
0.0000 3.6699 0.0000
0.0000 0.0000 18.8589
Y Cd Cu
5 4 1
Cartesian
0.0000 0.0000 0.0000
0.0000 0.0000 3.8683
0.0000 0.0000 7.7669
0.0000 0.0000 11.0921
0.0000 0.0000 14.9907
1.8349 1.8349 1.9278
1.8349 1.8349 5.7874
1.8349 1.8349 13.0716
1.8349 1.8349 16.9311
1.8349 1.8349 9.4295

***

Record 8
Y4CdCu | the Alexandria database | GGA-PBE | relaxed; ΔE to the lowest computed polymorph = 696 meV/atom; space group = No. 216; N(E_F) = 6.3 states/eV/cell
1.0
0.0000 4.4234 4.4234
4.4234 0.0000 4.4234
4.4234 4.4234 0.0000
Y Cd Cu
4 1 1
Cartesian
1.1038 1.1038 1.1038
3.3196 3.3196 1.1038
3.3196 1.1038 3.3196
1.1038 3.3196 3.3196
6.6351 6.6351 6.6351
4.4234 4.4234 4.4234

***

Record 9
Y2CdCu | the Alexandria database | GGA-PBE | relaxed; space group = No. 123; calculated total energy = -4.7258 eV per atom; N(E_F) = 3.1 states/eV/cell
1.0
5.1234 0.0000 0.0000
0.0000 5.1234 0.0000
0.0000 0.0000 3.6556
Y Cd Cu
2 1 1
Cartesian
0.0000 2.5617 0.0000
2.5617 0.0000 0.0000
0.0000 0.0000 1.8278
2.5617 2.5617 1.8278

***

Record 10
YCdCu | the Alexandria database | GGA-PBE | relaxed; space group = No. 12; calculated total energy = -4.0927 eV per atom; N(E_F) = 4.5 states/eV/cell
1.0
6.4098 -1.9850 0.0000
6.4098 1.9850 0.0000
-1.0770 0.0000 5.1235
Y Cd Cu
2 2 2
Cartesian
1.3142 0.0000 1.5889
10.4285 0.0000 3.5346
5.2238 0.0000 1.1181
6.5188 0.0000 4.0054
2.0197 0.0000 4.3707
9.7230 0.0000 0.7528

***

Record 11
YCd2Cu | the Alexandria database | GGA-PBE | relaxed; space group = No. 12; calculated total energy = -3.0360 eV per atom; N(E_F) = 2.4 states/eV/cell
1.0
2.9368 -5.3897 0.0000
2.9368 5.3897 0.0000
-1.3518 0.0000 2.8270
Y Cd Cu
1 2 1
Cartesian
0.0000 0.0000 0.0000
0.7925 2.6948 1.4135
0.7925 -2.6948 1.4135
2.9368 0.0000 0.0000

***

Record 12
YCd2Cu | the Alexandria database | GGA-PBE | relaxed; space group = No. 225; calculated total energy = -3.2219 eV per atom; N(E_F) = 1.8 states/eV/cell
1.0
0.0000 3.4746 3.4746
3.4746 0.0000 3.4746
3.4746 3.4746 0.0000
Y Cd Cu
1 2 1
Cartesian
0.0000 0.0000 0.0000
1.7373 1.7373 1.7373
5.2119 5.2119 5.2119
3.4746 3.4746 3.4746